Density functional theory data (GGA-PBE) for a relaxed structure of Tb6Hg2Ru.

```
data_Tb6Hg2Ru
_cell_length_a 3.849
_cell_length_b 15.053
_cell_length_c 8.400
_cell_angle_alpha 90.00
_cell_angle_beta 90.00
_cell_angle_gamma 90.00
_space_group_name_H-M_alt 'A m m 2'
_space_group_IT_number 38
_space_group_name_Hall 'A 2 -2'
loop_
_atom_site_label
_atom_site_fract_x
_atom_site_fract_y
_atom_site_fract_z
Tb1 0.000 0.000 0.000
Tb2 0.000 0.126 0.657
Tb3 0.500 0.000 0.374
Tb4 0.500 0.197 0.981
Hg1 0.000 0.164 0.279
Ru1 0.500 0.000 0.741
```

Output
formation energy = -0.33 eV per atom
calculated total energy = -40.7 eV per formula unit
calculated volume = 27.0 Å³ per atom
density of states at the Fermi level = 22.52 states/eV per cell

***

Density functional theory data (GGA-PBE) for a relaxed structure of Tb4Hg5Ru2.

```
data_Tb4Hg5Ru2
_cell_length_a 7.716
_cell_length_b 3.611
_cell_length_c 9.574
_cell_angle_alpha 90.00
_cell_angle_beta 95.75
_cell_angle_gamma 90.00
_space_group_name_H-M_alt 'P 1 2/m 1'
_space_group_IT_number 10
_space_group_name_Hall '-P 2y'
loop_
_atom_site_label
_atom_site_fract_x
_atom_site_fract_y
_atom_site_fract_z
Tb1 0.177 0.000 0.351
Tb2 0.216 0.000 0.941
Hg1 0.172 0.500 0.649
Hg2 0.454 0.500 0.170
Hg3 0.500 0.500 0.500
Ru1 0.077 0.500 0.141
```

Output
formation energy = -0.38 eV per atom
calculated total energy = -42.8 eV per formula unit
calculated volume = 24.1 Å³ per atom
density of states at the Fermi level = 7.45 states/eV per cell

***

Density functional theory data (GGA-PBE) for a relaxed structure of Tb5HgRu4.

```
data_Tb5HgRu4
_cell_length_a 3.434
_cell_length_b 3.434
_cell_length_c 17.936
_cell_angle_alpha 90.00
_cell_angle_beta 90.00
_cell_angle_gamma 90.00
_space_group_name_H-M_alt 'P 4/m m m'
_space_group_IT_number 123
_space_group_name_Hall '-P 4 2'
loop_
_atom_site_label
_atom_site_fract_x
_atom_site_fract_y
_atom_site_fract_z
Tb1 0.000 0.000 0.000
Tb2 0.000 0.000 0.189
Tb3 0.000 0.000 0.378
Hg1 0.500 0.500 0.500
Ru1 0.500 0.500 0.096
Ru2 0.500 0.500 0.289
```

Output
formation energy = -0.37 eV per atom
calculated total energy = -64.2 eV per formula unit
calculated volume = 21.1 Å³ per atom
density of states at the Fermi level = 7.33 states/eV per cell

***

Density functional theory data (GGA-PBE) for a relaxed structure of Tb3Hg2Ru.

```
data_Tb3Hg2Ru
_cell_length_a 5.096
_cell_length_b 7.463
_cell_length_c 7.981
_cell_angle_alpha 90.00
_cell_angle_beta 108.54
_cell_angle_gamma 90.00
_space_group_name_H-M_alt 'P 1 2/m 1'
_space_group_IT_number 10
_space_group_name_Hall '-P 2y'
loop_
_atom_site_label
_atom_site_fract_x
_atom_site_fract_y
_atom_site_fract_z
Tb1 0.000 0.234 0.000
Tb2 0.326 0.225 0.652
Hg1 0.167 0.500 0.331
Hg2 0.500 0.000 0.000
Hg3 0.500 0.500 0.000
Ru1 0.165 0.000 0.331
```

Output
formation energy = -0.45 eV per atom
calculated total energy = -26.5 eV per formula unit
calculated volume = 24.0 Å³ per atom
density of states at the Fermi level = 8.28 states/eV per cell

***

Density functional theory data (GGA-PBE) for a relaxed structure of Tb6Hg2Ru.

```
data_Tb6Hg2Ru
_cell_length_a 6.966
_cell_length_b 7.394
_cell_length_c 12.308
_cell_angle_alpha 90.00
_cell_angle_beta 123.95
_cell_angle_gamma 90.00
_space_group_name_H-M_alt 'P 1 21/c 1'
_space_group_IT_number 14
_space_group_name_Hall '-P 2ybc'
loop_
_atom_site_label
_atom_site_fract_x
_atom_site_fract_y
_atom_site_fract_z
Tb1 0.137 0.011 0.248
Tb2 0.231 0.691 0.051
Tb3 0.361 0.190 0.053
Hg1 0.289 0.093 0.751
Ru1 0.500 0.000 0.500
```

Output
formation energy = -0.27 eV per atom
calculated total energy = -40.1 eV per formula unit
calculated volume = 29.2 Å³ per atom
density of states at the Fermi level = 15.90 states/eV per cell

***

Density functional theory data (GGA-PBE) for a relaxed structure of Tb8Hg2Ru3.

```
data_Tb8Hg2Ru3
_cell_length_a 9.814
_cell_length_b 14.455
_cell_length_c 4.940
_cell_angle_alpha 90.00
_cell_angle_beta 90.00
_cell_angle_gamma 90.00
_space_group_name_H-M_alt 'C m m m'
_space_group_IT_number 65
_space_group_name_Hall '-C 2 2'
loop_
_atom_site_label
_atom_site_fract_x
_atom_site_fract_y
_atom_site_fract_z
Tb1 0.000 0.112 0.000
Tb2 0.000 0.386 0.000
Tb3 0.247 0.388 0.500
Hg1 0.000 0.246 0.500
Ru1 0.000 0.500 0.500
Ru2 0.249 0.500 0.000
```

Output
formation energy = -0.29 eV per atom
calculated total energy = -69.2 eV per formula unit
calculated volume = 27.0 Å³ per atom
density of states at the Fermi level = 20.42 states/eV per cell

***

Density functional theory data (GGA-PBE) for a relaxed structure of Tb5HgRu2.

```
data_Tb5HgRu2
_cell_length_a 7.764
_cell_length_b 7.764
_cell_length_c 13.399
_cell_angle_alpha 90.00
_cell_angle_beta 90.00
_cell_angle_gamma 90.00
_space_group_name_H-M_alt 'I 4/m c m'
_space_group_IT_number 140
_space_group_name_Hall '-I 4 2c'
loop_
_atom_site_label
_atom_site_fract_x
_atom_site_fract_y
_atom_site_fract_z
Tb1 0.000 0.000 0.000
Tb2 0.159 0.341 0.134
Hg1 0.000 0.000 0.250
Ru1 0.142 0.358 0.500
```

Output
formation energy = -0.41 eV per atom
calculated total energy = -45.3 eV per formula unit
calculated volume = 25.2 Å³ per atom
density of states at the Fermi level = 24.39 states/eV per cell

***

Density functional theory data (GGA-PBE) for a relaxed structure of Tb8HgRu5.

```
data_Tb8HgRu5
_cell_length_a 8.757
_cell_length_b 8.757
_cell_length_c 8.540
_cell_angle_alpha 90.00
_cell_angle_beta 90.00
_cell_angle_gamma 90.00
_space_group_name_H-M_alt 'I -4'
_space_group_IT_number 82
_space_group_name_Hall 'I -4'
loop_
_atom_site_label
_atom_site_fract_x
_atom_site_fract_y
_atom_site_fract_z
Tb1 0.066 0.192 0.327
Tb2 0.070 0.329 0.936
Hg1 0.000 0.000 0.000
Ru1 0.000 0.500 0.250
Ru2 0.156 0.253 0.634
```

Output
formation energy = -0.23 eV per atom
calculated total energy = -87.0 eV per formula unit
calculated volume = 23.4 Å³ per atom
density of states at the Fermi level = 14.92 states/eV per cell

***

Density functional theory data (GGA-PBE) for a relaxed structure of Tb5Hg2Ru.

```
data_Tb5Hg2Ru
_cell_length_a 5.669
_cell_length_b 12.226
_cell_length_c 12.724
_cell_angle_alpha 90.00
_cell_angle_beta 90.00
_cell_angle_gamma 90.00
_space_group_name_H-M_alt 'C m c m'
_space_group_IT_number 63
_space_group_name_Hall '-C 2c 2'
loop_
_atom_site_label
_atom_site_fract_x
_atom_site_fract_y
_atom_site_fract_z
Tb1 0.000 0.076 0.106
Tb2 0.000 0.366 0.062
Tb3 0.000 0.403 0.750
Hg1 0.000 0.185 0.631
Ru1 0.000 0.235 0.250
```

Output
formation energy = -0.14 eV per atom
calculated total energy = -34.2 eV per formula unit
calculated volume = 27.6 Å³ per atom
density of states at the Fermi level = 35.00 states/eV per cell

***

Density functional theory data (GGA-PBE) for a relaxed structure of Tb3Hg2Ru.

```
data_Tb3Hg2Ru
_cell_length_a 3.591
_cell_length_b 21.884
_cell_length_c 8.412
_cell_angle_alpha 90.00
_cell_angle_beta 90.00
_cell_angle_gamma 90.00
_space_group_name_H-M_alt 'C m c m'
_space_group_IT_number 63
_space_group_name_Hall '-C 2c 2'
loop_
_atom_site_label
_atom_site_fract_x
_atom_site_fract_y
_atom_site_fract_z
Tb1 0.000 0.090 0.049
Tb2 0.000 0.300 0.250
Hg1 0.000 0.319 0.750
Hg2 0.000 0.496 0.250
Ru1 0.000 0.103 0.750
```

Output
formation energy = -0.19 eV per atom
calculated total energy = -24.9 eV per formula unit
calculated volume = 27.5 Å³ per atom
density of states at the Fermi level = 21.22 states/eV per cell

***

Density functional theory data (GGA-PBE) for a relaxed structure of Tb6Hg5Ru.

```
data_Tb6Hg5Ru
_cell_length_a 5.188
_cell_length_b 7.456
_cell_length_c 15.480
_cell_angle_alpha 90.00
_cell_angle_beta 90.00
_cell_angle_gamma 90.00
_space_group_name_H-M_alt 'I m m m'
_space_group_IT_number 71
_space_group_name_Hall '-I 2 2'
loop_
_atom_site_label
_atom_site_fract_x
_atom_site_fract_y
_atom_site_fract_z
Tb1 0.000 0.228 0.000
Tb2 0.000 0.265 0.344
Hg1 0.000 0.000 0.181
Hg2 0.000 0.000 0.500
Hg3 0.000 0.500 0.166
Ru1 0.000 0.500 0.500
```

Output
formation energy = -0.48 eV per atom
calculated total energy = -44.3 eV per formula unit
calculated volume = 24.9 Å³ per atom
density of states at the Fermi level = 13.21 states/eV per cell